DFT (PBE) results for crystalline Cr2SbMo at its relaxed geometry.

Summary:
Theoretical density = 8566 kg/m3
Total energy = -8.18 eV/atom
Formation energy without anion corrections = 372 meV per atom

abc: 2.9639 3.9270 5.4000
angles: 90.00 97.19 90.00
Space group Pm (No. 6)
Unique sites:
Cr (0.0000, 0.0000, 0.0000) [1 per cell]
Cr (0.3879, 0.5000, 0.2078) [1 per cell]
Sb (0.3996, 0.5000, 0.7189) [1 per cell]
Mo (0.8206, 0.0000, 0.4296) [1 per cell]